# GdDyCuGe, relaxed, DFT GGA-PBE
# - DFT formation energy (eV/atom) = -0.502
# - calculated volume (Å³ per cell) = 352.80
# - mass density (g cm⁻³) = 8.58
data_GdDyCuGe
_chemical_formula_sum 'Gd4 Dy4 Cu4 Ge4'
_space_group_name_H-M_alt 'F -4 3 m'
_space_group_IT_number 216
_space_group_name_Hall 'F -4 2 3'
_cell_length_a 7.0660
_cell_length_b 7.0660
_cell_length_c 7.0660
_cell_angle_alpha 90.00
_cell_angle_beta 90.00
_cell_angle_gamma 90.00
loop_
_atom_site_label
_atom_site_type_symbol
_atom_site_fract_x
_atom_site_fract_y
_atom_site_fract_z
_atom_site_occupancy
Gd1 Gd 0.0000 0.0000 0.0000 1
Dy1 Dy 0.0000 0.0000 0.5000 1
Cu1 Cu 0.2500 0.2500 0.2500 1
Ge1 Ge 0.2500 0.2500 0.7500 1



# GdDyInCu, relaxed, DFT GGA-PBE
# - DFT formation energy (eV/atom) = -0.307
# - calculated volume (Å³ per cell) = 394.94
# - mass density (g cm⁻³) = 8.38
data_GdDyInCu
_chemical_formula_sum 'Gd4 Dy4 In4 Cu4'
_space_group_name_H-M_alt 'F -4 3 m'
_space_group_IT_number 216
_space_group_name_Hall 'F -4 2 3'
_cell_length_a 7.3369
_cell_length_b 7.3369
_cell_length_c 7.3369
_cell_angle_alpha 90.00
_cell_angle_beta 90.00
_cell_angle_gamma 90.00
loop_
_atom_site_label
_atom_site_type_symbol
_atom_site_fract_x
_atom_site_fract_y
_atom_site_fract_z
_atom_site_occupancy
Gd1 Gd 0.0000 0.0000 0.0000 1
Dy1 Dy 0.0000 0.0000 0.5000 1
In1 In 0.2500 0.2500 0.2500 1
Cu1 Cu 0.2500 0.2500 0.7500 1



# GdDyCuIr, relaxed, DFT GGA-PBE
# - DFT formation energy (eV/atom) = -0.560
# - calculated volume (Å³ per cell) = 332.05
# - mass density (g cm⁻³) = 11.51
data_GdDyCuIr
_chemical_formula_sum 'Gd4 Dy4 Cu4 Ir4'
_space_group_name_H-M_alt 'F -4 3 m'
_space_group_IT_number 216
_space_group_name_Hall 'F -4 2 3'
_cell_length_a 6.9247
_cell_length_b 6.9247
_cell_length_c 6.9247
_cell_angle_alpha 90.00
_cell_angle_beta 90.00
_cell_angle_gamma 90.00
loop_
_atom_site_label
_atom_site_type_symbol
_atom_site_fract_x
_atom_site_fract_y
_atom_site_fract_z
_atom_site_occupancy
Gd1 Gd 0.0000 0.0000 0.0000 1
Dy1 Dy 0.0000 0.0000 0.5000 1
Cu1 Cu 0.2500 0.2500 0.7500 1
Ir1 Ir 0.2500 0.2500 0.2500 1



# GdDyCuNi, relaxed, DFT GGA-PBE
# - DFT formation energy (eV/atom) = -0.296
# - calculated volume (Å³ per cell) = 325.43
# - mass density (g cm⁻³) = 9.02
data_GdDyCuNi
_chemical_formula_sum 'Gd4 Dy4 Cu4 Ni4'
_space_group_name_H-M_alt 'F -4 3 m'
_space_group_IT_number 216
_space_group_name_Hall 'F -4 2 3'
_cell_length_a 6.8784
_cell_length_b 6.8784
_cell_length_c 6.8784
_cell_angle_alpha 90.00
_cell_angle_beta 90.00
_cell_angle_gamma 90.00
loop_
_atom_site_label
_atom_site_type_symbol
_atom_site_fract_x
_atom_site_fract_y
_atom_site_fract_z
_atom_site_occupancy
Gd1 Gd 0.0000 0.0000 0.0000 1
Dy1 Dy 0.0000 0.0000 0.5000 1
Cu1 Cu 0.2500 0.2500 0.2500 1
Ni1 Ni 0.2500 0.2500 0.7500 1



# GdDyCuOs, relaxed, DFT GGA-PBE
# - DFT formation energy (eV/atom) = -0.228
# - calculated volume (Å³ per cell) = 327.57
# - mass density (g cm⁻³) = 11.63
data_GdDyCuOs
_chemical_formula_sum 'Gd4 Dy4 Cu4 Os4'
_space_group_name_H-M_alt 'F -4 3 m'
_space_group_IT_number 216
_space_group_name_Hall 'F -4 2 3'
_cell_length_a 6.8934
_cell_length_b 6.8934
_cell_length_c 6.8934
_cell_angle_alpha 90.00
_cell_angle_beta 90.00
_cell_angle_gamma 90.00
loop_
_atom_site_label
_atom_site_type_symbol
_atom_site_fract_x
_atom_site_fract_y
_atom_site_fract_z
_atom_site_occupancy
Gd1 Gd 0.0000 0.0000 0.0000 1
Dy1 Dy 0.0000 0.0000 0.5000 1
Cu1 Cu 0.2500 0.2500 0.7500 1
Os1 Os 0.2500 0.2500 0.2500 1



# GdDyCuRu, relaxed, DFT GGA-PBE
# - DFT formation energy (eV/atom) = -0.306
# - calculated volume (Å³ per cell) = 328.30
# - mass density (g cm⁻³) = 9.80
data_GdDyCuRu
_chemical_formula_sum 'Gd4 Dy4 Cu4 Ru4'
_space_group_name_H-M_alt 'F -4 3 m'
_space_group_IT_number 216
_space_group_name_Hall 'F -4 2 3'
_cell_length_a 6.8985
_cell_length_b 6.8985
_cell_length_c 6.8985
_cell_angle_alpha 90.00
_cell_angle_beta 90.00
_cell_angle_gamma 90.00
loop_
_atom_site_label
_atom_site_type_symbol
_atom_site_fract_x
_atom_site_fract_y
_atom_site_fract_z
_atom_site_occupancy
Gd1 Gd 0.0000 0.0000 0.0000 1
Dy1 Dy 0.0000 0.0000 0.5000 1
Cu1 Cu 0.2500 0.2500 0.2500 1
Ru1 Ru 0.2500 0.2500 0.7500 1



Copy entry 1 word for word.
# GdDyCuGe, relaxed, DFT GGA-PBE
# - DFT formation energy (eV/atom) = -0.502
# - calculated volume (Å³ per cell) = 352.80
# - mass density (g cm⁻³) = 8.58
data_GdDyCuGe
_chemical_formula_sum 'Gd4 Dy4 Cu4 Ge4'
_space_group_name_H-M_alt 'F -4 3 m'
_space_group_IT_number 216
_space_group_name_Hall 'F -4 2 3'
_cell_length_a 7.0660
_cell_length_b 7.0660
_cell_length_c 7.0660
_cell_angle_alpha 90.00
_cell_angle_beta 90.00
_cell_angle_gamma 90.00
loop_
_atom_site_label
_atom_site_type_symbol
_atom_site_fract_x
_atom_site_fract_y
_atom_site_fract_z
_atom_site_occupancy
Gd1 Gd 0.0000 0.0000 0.0000 1
Dy1 Dy 0.0000 0.0000 0.5000 1
Cu1 Cu 0.2500 0.2500 0.2500 1
Ge1 Ge 0.2500 0.2500 0.7500 1



- What is the calculated volume in the sixth record?
  328.30 Å³ per cell